Entry 1:
# PBE Zn3FeAg, relaxed
# **E_form**: 597 meV/atom
# **Calculated total energy**: -2.430 eV/atom
# **Total magnetic moment**: 0.33 μB/atom
data_Zn3FeAg
_cell_length_a 4.5944
_cell_length_b 4.5944
_cell_length_c 4.5944
_cell_angle_alpha 90.00
_cell_angle_beta 90.00
_cell_angle_gamma 90.00
_symmetry_space_group_name_H-M 'P m -3 m'
_symmetry_Int_Tables_number 221
_symmetry_space_group_name_Hall '-P 4 2 3'
loop_
_atom_site_label
_atom_site_type_symbol
_atom_site_fract_x
_atom_site_fract_y
_atom_site_fract_z
_atom_site_occupancy
Zn1 Zn 0.0000 0.0000 0.5000 1
Fe1 Fe 0.0000 0.0000 0.0000 1
Ag1 Ag 0.5000 0.5000 0.5000 1

=====

Entry 2:
# PBE Pm12Ho5Cd2, relaxed
# **E_form**: 43 meV/atom
# **Calculated total energy**: -4.258 eV/atom
# **Total magnetic moment**: 0.00 μB/atom
data_Pm12Ho5Cd2
_cell_length_a 15.6118
_cell_length_b 9.2441
_cell_length_c 8.5291
_cell_angle_alpha 90.00
_cell_angle_beta 92.71
_cell_angle_gamma 90.00
_symmetry_space_group_name_H-M 'C 1 2/m 1'
_symmetry_Int_Tables_number 12
loop_
_symmetry_equiv_pos_as_xyz
'x,y,z'
'-x,-y,-z'
'-x,y,-z'
'x,-y,z'
'x+1/2,y+1/2,z'
'-x+1/2,-y+1/2,-z'
'-x+1/2,y+1/2,-z'
'x+1/2,-y+1/2,z'
loop_
_atom_site_label
_atom_site_type_symbol
_atom_site_fract_x
_atom_site_fract_y
_atom_site_fract_z
_atom_site_occupancy
Pm1 Pm 0.0580 0.0000 0.3298 1
Pm2 Pm 0.0811 0.5000 0.8831 1
Pm3 Pm 0.1258 0.1947 0.6718 1
Pm4 Pm 0.1487 0.3151 0.2356 1
Ho1 Ho 0.0000 0.5000 0.5000 1
Ho2 Ho 0.1965 0.0000 0.0187 1
Ho3 Ho 0.2324 0.5000 0.5769 1
Cd1 Cd 0.0000 0.1697 0.0000 1